This record from the Alexandria database describes a relaxed CdWS2Cl crystal. The functional is PBE-GGA.

Unit cell a=5.0085 b=5.0085 c=4.8543 alpha=90.00 beta=90.00 gamma=90.00
Last column: nearest neighbours and their distance in Å.
Space group P4/mmm (No. 123)
Inequivalent atoms, fractional coordinates:
Cd: 0.0000 0.0000 0.0000 [1 per cell]  2 Cl 2.43, 4 S 2.50
W: 0.5000 0.5000 0.5000 [1 per cell]  8 S 3.49, 4 Cl 3.54
S: 0.0000 0.5000 0.0000 [2 per cell]  2 Cd 2.50
Cl: 0.0000 0.0000 0.5000 [1 per cell]  2 Cd 2.43

=====

This record from the Alexandria database describes a relaxed CdWSCl2 crystal. The functional is PBE-GGA.

Unit cell a=4.9169 b=4.9169 c=4.6599 alpha=90.00 beta=90.00 gamma=90.00
Last column: nearest neighbours and their distance in Å.
Space group P4/mmm (No. 123)
Inequivalent atoms, fractional coordinates:
Cd: 0.0000 0.0000 0.0000 [1 per cell]  8 Cl 3.39, 4 S 3.48
W: 0.5000 0.5000 0.5000 [1 per cell]  2 S 2.33, 4 Cl 2.46
S: 0.5000 0.5000 0.0000 [1 per cell]  2 W 2.33
Cl: 0.0000 0.5000 0.5000 [2 per cell]  2 W 2.46

=====

This record from the Alexandria database describes a relaxed CdWSCl2 crystal. The functional is PBE-GGA.

Unit cell a=4.9127 b=4.9127 c=5.3814 alpha=90.00 beta=90.00 gamma=90.00
Last column: nearest neighbours and their distance in Å.
Space group P4/mmm (No. 123)
Inequivalent atoms, fractional coordinates:
Cd: 0.0000 0.0000 0.0000 [1 per cell]  4 Cl 2.46, 2 S 2.69
W: 0.5000 0.5000 0.5000 [1 per cell]  4 S 3.47, 8 Cl 3.64
S: 0.0000 0.0000 0.5000 [1 per cell]  2 Cd 2.69
Cl: 0.0000 0.5000 0.0000 [2 per cell]  2 Cd 2.46

=====

This record from the Alexandria database describes a relaxed ZnCdSCl2 crystal. The functional is PBE-GGA.

Unit cell a=5.0324 b=5.0324 c=5.3092 alpha=90.00 beta=90.00 gamma=90.00
Last column: nearest neighbours and their distance in Å.
Space group P4/mmm (No. 123)
Inequivalent atoms, fractional coordinates:
Zn: 0.0000 0.0000 0.0000 [1 per cell]  4 S 3.56, 8 Cl 3.66
Cd: 0.5000 0.5000 0.5000 [1 per cell]  4 Cl 2.52, 2 S 2.65
S: 0.5000 0.5000 0.0000 [1 per cell]  2 Cd 2.65
Cl: 0.0000 0.5000 0.5000 [2 per cell]  2 Cd 2.52

=====

This record from the Alexandria database describes a relaxed ZnCdS2Cl crystal. The functional is PBE-GGA.

Unit cell a=5.0348 b=5.0348 c=5.0710 alpha=90.00 beta=90.00 gamma=90.00
Last column: nearest neighbours and their distance in Å.
Space group P4/mmm (No. 123)
Inequivalent atoms, fractional coordinates:
Zn: 0.0000 0.0000 0.0000 [1 per cell]  4 Cl 3.56, 8 S 3.57
Cd: 0.5000 0.5000 0.5000 [1 per cell]  4 S 2.52, 2 Cl 2.54
S: 0.0000 0.5000 0.5000 [2 per cell]  2 Cd 2.52
Cl: 0.5000 0.5000 0.0000 [1 per cell]  2 Cd 2.54

=====

This record from the Alexandria database describes a relaxed ZnCdSCl2 crystal. The functional is PBE-GGA.

Unit cell a=4.6727 b=4.6727 c=5.1660 alpha=90.00 beta=90.00 gamma=90.00
Last column: nearest neighbours and their distance in Å.
Space group P4/mmm (No. 123)
Inequivalent atoms, fractional coordinates:
Zn: 0.0000 0.0000 0.0000 [1 per cell]  4 Cl 2.34, 2 S 2.58
Cd: 0.5000 0.5000 0.5000 [1 per cell]  4 S 3.30, 8 Cl 3.48
S: 0.0000 0.0000 0.5000 [1 per cell]  2 Zn 2.58
Cl: 0.0000 0.5000 0.0000 [2 per cell]  2 Zn 2.34

=====

This record from the Alexandria database describes a relaxed ZnCdS2Cl crystal. The functional is PBE-GGA.

Unit cell a=4.6894 b=4.6894 c=4.9232 alpha=90.00 beta=90.00 gamma=90.00
Last column: nearest neighbours and their distance in Å.
Space group P4/mmm (No. 123)
Inequivalent atoms, fractional coordinates:
Zn: 0.0000 0.0000 0.0000 [1 per cell]  4 S 2.34, 2 Cl 2.46
Cd: 0.5000 0.5000 0.5000 [1 per cell]  4 Cl 3.32, 8 S 3.40
S: 0.0000 0.5000 0.0000 [2 per cell]  2 Zn 2.34
Cl: 0.0000 0.0000 0.5000 [1 per cell]  2 Zn 2.46

=====

This record from the Alexandria database describes a relaxed Cd2SbCl crystal. The functional is PBE-GGA.

Unit cell a=4.2534 b=5.8267 c=4.2569 alpha=90.00 beta=90.00 gamma=90.00
Last column: nearest neighbours and their distance in Å.
Space group Pm (No. 6)
Inequivalent atoms, fractional coordinates:
Cd: 0.0000 0.0000 0.0000 [1 per cell]  2 Sb 2.91, 4 Cl 2.99-3.02
Cd: 0.4935 0.5000 0.5045 [1 per cell]  2 Cl 2.91, 4 Sb 3.01
Sb: 0.9933 0.5000 0.0049 [1 per cell]  6 Cd 2.91-3.01
Cl: 0.4972 0.0000 0.5024 [1 per cell]  6 Cd 2.91-3.02

=====

This record from the Alexandria database describes a relaxed CdSb2Cl8 crystal. The functional is PBE-GGA.

Unit cell a=11.8279 b=10.3787 c=8.0326 alpha=90.00 beta=110.74 gamma=90.00
Last column: nearest neighbours and their distance in Å.
Space group C2/m (No. 12)
Inequivalent atoms, fractional coordinates:
Cd: 0.0000 0.0000 0.0000 [2 per cell]  2 Cl 2.38
Sb: 0.1603 0.0000 0.6207 [4 per cell]  3 Cl 2.35-2.43
Cl: 0.1179 0.1724 0.7942 [8 per cell]  1 Sb 2.43
Cl: 0.1277 0.5000 0.2428 [4 per cell]  1 Sb 2.35
Cl: 0.1882 0.0000 0.2419 [4 per cell]  1 Cd 2.38

=====

This record from the Alexandria database describes a relaxed CdSb4Cl crystal. The functional is PBE-GGA.

Unit cell a=9.0127 b=9.0127 c=9.0127 alpha=90.00 beta=90.00 gamma=90.00
Last column: nearest neighbours and their distance in Å.
Space group F-43m (No. 216)
Inequivalent atoms, fractional coordinates:
Cd: 0.0000 0.0000 0.0000 [4 per cell]  12 Sb 3.77, 4 Cl 3.90
Sb: 0.1142 0.1142 0.3858 [16 per cell]  3 Sb 2.91
Cl: 0.2500 0.2500 0.7500 [4 per cell]  12 Sb 3.71, 4 Cd 3.90

=====

This record from the Alexandria database describes a relaxed CdSbCl2 crystal. The functional is PBE-GGA.

Unit cell a=11.4543 b=3.4847 c=5.7540 alpha=90.00 beta=99.51 gamma=90.00
Last column: nearest neighbours and their distance in Å.
Space group Cm (No. 8)
Inequivalent atoms, fractional coordinates:
Cd: 0.0000 0.0000 0.0000 [2 per cell]  4 Cl 2.68-2.99, 2 Sb 2.99
Sb: 0.1707 0.5000 0.3127 [2 per cell]  1 Cl 2.51
Cl: 0.0221 0.5000 0.5875 [2 per cell]  1 Sb 2.51
Cl: 0.3200 0.0000 0.9574 [2 per cell]  2 Cd 2.68

=====

This record from the Alexandria database describes a relaxed Cd2SbCl crystal. The functional is PBE-GGA.

Unit cell a=3.2028 b=5.9701 c=5.4329 alpha=90.00 beta=96.93 gamma=90.00
Last column: nearest neighbours and their distance in Å.
Space group P2/m (No. 10)
Inequivalent atoms, fractional coordinates:
Cd: 0.2287 0.0000 0.2597 [2 per cell]  5 Cd 2.96-3.20
Sb: 0.0000 0.5000 0.0000 [1 per cell]  2 Cl 2.72
Cl: 0.0000 0.5000 0.5000 [1 per cell]  2 Sb 2.72

=====

This record from the Alexandria database describes a relaxed CdSbCl2 crystal. The functional is PBE-GGA.

Unit cell a=3.7884 b=3.7884 c=27.4520 alpha=90.00 beta=90.00 gamma=120.00
Last column: nearest neighbours and their distance in Å.
Space group R3m (No. 160, hexagonal axes)
Inequivalent atoms, fractional coordinates:
Cd: 0.0000 0.0000 0.0000 [3 per cell]  3 Cl 2.68
Sb: 0.0000 0.0000 0.2524 [3 per cell]  3 Cl 2.91, 3 Cd 3.12
Cl: 0.0000 0.0000 0.5156 [3 per cell]  3 Sb 2.91
Cl: 0.0000 0.0000 0.7230 [3 per cell]  3 Cd 2.68

=====

This record from the Alexandria database describes a relaxed CdSbCl crystal. The functional is PBE-GGA.

Unit cell a=4.2419 b=4.2419 c=11.1381 alpha=90.00 beta=90.00 gamma=90.00
Last column: nearest neighbours and their distance in Å.
Space group I4mm (No. 107)
Inequivalent atoms, fractional coordinates:
Cd: 0.0000 0.0000 0.0000 [2 per cell]  1 Cl 2.95, 4 Sb 3.00
Sb: 0.0000 0.0000 0.4880 [2 per cell]  1 Cl 2.48
Cl: 0.0000 0.0000 0.2651 [2 per cell]  1 Sb 2.48

=====

This record from the Alexandria database describes a relaxed CdSbCl4 crystal. The functional is PBE-GGA.

Unit cell a=8.3741 b=8.3741 c=8.3741 alpha=90.00 beta=90.00 gamma=90.00
Last column: nearest neighbours and their distance in Å.
Space group F-43m (No. 216)
Inequivalent atoms, fractional coordinates:
Cd: 0.0000 0.0000 0.0000 [4 per cell]  12 Cl 3.47, 4 Sb 3.63
Sb: 0.2500 0.2500 0.2500 [4 per cell]  12 Cl 3.47, 4 Cd 3.63
Cl: 0.1253 0.1253 0.6253 [16 per cell]  6 Cl 2.95-2.97

=====

| no. | E_tot (eV/cell) | magnetic moment (μB per formula unit) |
| --- | --- | --- |
| 1 | -17.85 | 3.40 |
| 2 | -21.94 | 0.58 |
| 3 | -17.06 | 4.01 |
| 4 | -10.14 | 0.00 |
| 5 | -10.34 | 0.00 |
| 6 | -11.68 | 0.00 |
| 7 | -12.12 | 0.00 |
| 8 | -9.17 | 0.00 |
| 9 | -66.27 | 0.00 |
| 10 | -74.50 | 0.00 |
| 11 | -21.48 | 0.00 |
| 12 | -8.26 | 0.00 |
| 13 | -30.37 | 0.00 |
| 14 | -15.10 | 0.00 |
| 15 | -39.71 | 1.07 |